1.
VASP calculation (PBE) on crystalline GdZrNO at its relaxed geometry.

a = 4.2015 Å, b = 4.2015 Å, c = 8.1849 Å
α = 90.00°, β = 90.00°, γ = 90.00°
Closest atoms and distances in Å follow each position.
Atoms (fractional coordinates):
Gd: 0.0000 0.5000 0.1164  4 O 2.31
Gd: 0.5000 0.0000 0.8836  4 O 2.31
N: 0.5000 0.0000 0.4330  4 Zr 2.17
N: 0.0000 0.5000 0.5670  4 Zr 2.17
O: 0.0000 0.0000 0.0000  4 Gd 2.31
O: 0.5000 0.5000 0.0000  4 Gd 2.31
Zr: 0.0000 0.0000 0.5000  4 N 2.17
Zr: 0.5000 0.5000 0.5000  4 N 2.17

Calculated values
* SG: P4/nmm
* DFT total energy: -8.550 eV/atom
* energy relative to the lowest polymorph listed for this composition: 118 meV/atom


2.
VASP calculation (PBE) on crystalline Li2CdPd at its relaxed geometry.

a = 4.4735 Å, b = 4.4735 Å, c = 4.4735 Å
α = 60.00°, β = 60.00°, γ = 60.00°
Closest atoms and distances in Å follow each position.
Atoms (fractional coordinates):
Cd: 0.5000 0.5000 0.5000  4 Pd 2.74, 4 Li 2.74
Li: 0.0000 0.0000 0.0000  4 Pd 2.74, 4 Li 2.74
Li: 0.2500 0.2500 0.2500  4 Cd 2.74, 4 Li 2.74
Pd: 0.7500 0.7500 0.7500  4 Cd 2.74, 4 Li 2.74

Calculated values
* SG: F-43m
* DFT total energy: -2.873 eV/atom


3.
VASP calculation (PBE) on crystalline Li2LuSi at its relaxed geometry.

a = 4.6333 Å, b = 4.6333 Å, c = 4.6333 Å
α = 60.00°, β = 60.00°, γ = 60.00°
Closest atoms and distances in Å follow each position.
Atoms (fractional coordinates):
Li: 0.0000 0.0000 0.0000  4 Li 2.84, 4 Lu 2.84
Li: 0.7500 0.7500 0.7500  4 Li 2.84, 4 Si 2.84
Lu: 0.2500 0.2500 0.2500  4 Si 2.84, 4 Li 2.84
Si: 0.5000 0.5000 0.5000  4 Lu 2.84, 4 Li 2.84

Calculated values
* SG: F-43m
* DFT total energy: -3.724 eV/atom


4.
VASP calculation (PBE) on crystalline LaTlHgS3 at its relaxed geometry.

a = 7.3933 Å, b = 7.3933 Å, c = 11.1725 Å
α = 90.00°, β = 90.00°, γ = 33.85°
Closest atoms and distances in Å follow each position.
Atoms (fractional coordinates):
Hg: 0.5447 0.5447 0.2500  4 S 2.50-2.70
Hg: 0.4553 0.4553 0.7500  4 S 2.50-2.70
La: 0.0000 0.0000 0.0000  6 S 2.91-2.97
La: 0.0000 0.0000 0.5000  6 S 2.91-2.97
S: 0.6311 0.6311 0.0548  1 Hg 2.50
S: 0.9293 0.9293 0.2500  2 Hg 2.70, 2 La 2.97
S: 0.6311 0.6311 0.4452  1 Hg 2.50
S: 0.3689 0.3689 0.5548  1 Hg 2.50
S: 0.0707 0.0707 0.7500  2 Hg 2.70, 2 La 2.97
S: 0.3689 0.3689 0.9452  1 Hg 2.50
Tl: 0.2579 0.2579 0.2500  6 S 3.24-3.55
Tl: 0.7421 0.7421 0.7500  6 S 3.24-3.55

Calculated values
* SG: Cmcm
* DFT total energy: -4.349 eV/atom
* energy relative to the lowest polymorph listed for this composition: 3 meV/atom


5.
VASP calculation (PBE) on crystalline Nd2MgO4 at its relaxed geometry.

a = 6.8001 Å, b = 6.8001 Å, c = 6.8001 Å
α = 120.00°, β = 90.00°, γ = 120.00°
Closest atoms and distances in Å follow each position.
Atoms (fractional coordinates):
Mg: 0.0000 0.0000 0.0000  4 O 2.12
Mg: 0.7500 0.5000 0.2500  4 O 2.12
Nd: 0.3750 0.7500 0.1250  6 O 2.38
Nd: 0.8750 0.2500 0.6250  6 O 2.38
Nd: 0.3750 0.2500 0.6250  6 O 2.38
Nd: 0.3750 0.7500 0.6250  6 O 2.38
O: 0.6228 0.2457 0.3771  1 Mg 2.12
O: 0.1314 0.7543 0.3771  1 Mg 2.12
O: 0.6229 0.7543 0.3772  1 Mg 2.12
O: 0.1271 0.2543 0.3814  1 Mg 2.12
O: 0.6229 0.2457 0.8686  1 Mg 2.12
O: 0.1271 0.7457 0.8728  1 Mg 2.12
O: 0.1272 0.2543 0.8729  1 Mg 2.12
O: 0.6186 0.7457 0.8729  1 Mg 2.12

Calculated values
* SG: Fd-3m
* DFT total energy: -7.323 eV/atom


6.
VASP calculation (PBE) on crystalline YTlCuNi at its relaxed geometry.

a = 4.7398 Å, b = 4.7398 Å, c = 4.7398 Å
α = 60.00°, β = 60.00°, γ = 60.00°
Closest atoms and distances in Å follow each position.
Atoms (fractional coordinates):
Cu: 0.7500 0.7500 0.7500  4 Ni 2.90, 4 Tl 2.90
Ni: 0.5000 0.5000 0.5000  4 Cu 2.90, 4 Y 2.90
Tl: 0.0000 0.0000 0.0000  4 Cu 2.90, 4 Y 2.90
Y: 0.2500 0.2500 0.2500  4 Ni 2.90, 4 Tl 2.90

Calculated values
* SG: F-43m
* DFT total energy: -4.504 eV/atom
* energy relative to the lowest polymorph listed for this composition: 201 meV/atom


7.
VASP calculation (PBE) on crystalline CsTeMoAuSe2 at its relaxed geometry.

a = 8.7531 Å, b = 8.7531 Å, c = 10.6082 Å
α = 90.00°, β = 90.00°, γ = 153.93°
Closest atoms and distances in Å follow each position.
Atoms (fractional coordinates):
Au: 0.9509 0.0491 0.2500  2 Se 2.53, 2 Te 2.83
Au: 0.0491 0.9509 0.7500  2 Se 2.53, 2 Te 2.83
Cs: 0.2663 0.7337 0.2500  2 Au 3.72, 6 Se 3.79-4.06, 2 Te 3.89, 2 Cs 3.95
Cs: 0.7337 0.2663 0.7500  2 Au 3.72, 6 Se 3.79-4.06, 2 Te 3.89, 2 Cs 3.95
Mo: 0.5000 0.5000 0.0000  4 Se 2.66, 2 Te 2.91
Mo: 0.5000 0.5000 0.5000  4 Se 2.66, 2 Te 2.91
Se: 0.8967 0.1033 0.0285  1 Au 2.53, 2 Mo 2.66
Se: 0.8967 0.1033 0.4715  1 Au 2.53, 2 Mo 2.66
Se: 0.1033 0.8967 0.5285  1 Au 2.53, 2 Mo 2.66
Se: 0.1033 0.8967 0.9715  1 Au 2.53, 2 Mo 2.66
Te: 0.5697 0.4303 0.2500  2 Au 2.83, 2 Mo 2.91
Te: 0.4303 0.5697 0.7500  2 Au 2.83, 2 Mo 2.91

Calculated values
* SG: Cmcm
* DFT total energy: -4.522 eV/atom


8.
VASP calculation (PBE) on crystalline HgPbSeO at its relaxed geometry.

a = 6.2450 Å, b = 4.0379 Å, c = 15.4075 Å
α = 90.00°, β = 90.00°, γ = 90.00°
Closest atoms and distances in Å follow each position.
Atoms (fractional coordinates):
Hg: 0.2922 0.0000 0.1882  1 O 2.17
Hg: 0.7922 0.0000 0.3118  1 O 2.17
Hg: 0.2078 0.5000 0.6882  1 O 2.17
Hg: 0.7078 0.5000 0.8118  1 O 2.17
O: 0.7295 0.0000 0.1735  1 Hg 2.17, 2 Pb 2.37
O: 0.2295 0.0000 0.3265  1 Hg 2.17, 2 Pb 2.37
O: 0.7705 0.5000 0.6735  1 Hg 2.17, 2 Pb 2.37
O: 0.2705 0.5000 0.8265  1 Hg 2.17, 2 Pb 2.37
Pb: 0.7584 0.5000 0.0933  2 O 2.37
Pb: 0.2584 0.5000 0.4067  2 O 2.37
Pb: 0.7416 0.0000 0.5933  2 O 2.37
Pb: 0.2416 0.0000 0.9067  2 O 2.37
Se: 0.2580 0.5000 0.0776  2 Hg 2.65
Se: 0.7580 0.5000 0.4224  2 Hg 2.65
Se: 0.2420 0.0000 0.5776  2 Hg 2.65
Se: 0.7420 0.0000 0.9224  2 Hg 2.65

Calculated values
* SG: Pnma
* DFT total energy: -3.606 eV/atom
* energy relative to the lowest polymorph listed for this composition: 32 meV/atom


9.
VASP calculation (PBE) on crystalline TbTeNO at its relaxed geometry.

a = 5.6100 Å, b = 5.6628 Å, c = 9.1833 Å
α = 90.00°, β = 90.00°, γ = 90.00°
Closest atoms and distances in Å follow each position.
Atoms (fractional coordinates):
N: 0.2273 0.3287 0.2131  2 Te 2.05-2.08
N: 0.2727 0.8287 0.2131  2 Te 2.05-2.08
N: 0.7273 0.3287 0.7869  2 Te 2.05-2.08
N: 0.7727 0.8287 0.7869  2 Te 2.05-2.08
O: 0.7507 0.3126 0.4741  4 Tb 2.27-2.28
O: 0.7493 0.8126 0.4741  4 Tb 2.27-2.28
O: 0.2507 0.3126 0.5259  4 Tb 2.27-2.28
O: 0.2493 0.8126 0.5259  4 Tb 2.27-2.28
Tb: 0.0324 0.0631 0.3858  4 O 2.27-2.28, 2 N 2.44-2.47
Tb: 0.4676 0.5631 0.3858  4 O 2.27-2.28, 2 N 2.44-2.47
Tb: 0.5324 0.0631 0.6142  4 O 2.27-2.28, 2 N 2.44-2.47
Tb: 0.9676 0.5631 0.6142  4 O 2.27-2.28, 2 N 2.44-2.47
Te: 0.4599 0.0933 0.1134  2 N 2.05-2.08
Te: 0.0401 0.5933 0.1134  2 N 2.05-2.08
Te: 0.9599 0.0933 0.8866  2 N 2.05-2.08
Te: 0.5401 0.5933 0.8866  2 N 2.05-2.08

Calculated values
* SG: Pca2_1
* DFT total energy: -6.750 eV/atom
* energy relative to the lowest polymorph listed for this composition: 0 meV/atom


10.
VASP calculation (PBE) on crystalline TmCo at its relaxed geometry.

a = 3.4005 Å, b = 3.4004 Å, c = 3.8063 Å
α = 90.00°, β = 90.00°, γ = 120.00°
Closest atoms and distances in Å follow each position.
Atoms (fractional coordinates):
Co: 0.6667 0.3333 0.7500  6 Tm 2.73
Tm: 0.3333 0.6666 0.2500  6 Co 2.73

Calculated values
* formation energy from the elements: 0.369 eV/f.u.
* SG: P-6m2
* DFT total energy: -5.606 eV/atom


11.
VASP calculation (PBE) on crystalline ErHfSc2Sb2 at its relaxed geometry.

a = 8.5516 Å, b = 8.5516 Å, c = 8.5516 Å
α = 151.63°, β = 151.63°, γ = 40.56°
Closest atoms and distances in Å follow each position.
Atoms (fractional coordinates):
Er: 0.3202 0.3202 0.0000  5 Sb 2.97-3.05
Hf: 0.6744 0.6744 0.0000  5 Sb 3.03-3.06
Sb: 0.1348 0.1348 0.0000  1 Er 2.97, 4 Sc 2.98, 4 Hf 3.03
Sb: 0.8650 0.8650 0.0000  4 Sc 3.05, 4 Er 3.05, 1 Hf 3.06
Sc: 0.5028 0.0028 0.5000  4 Sc 2.96, 4 Sb 2.98-3.05
Sc: 0.0028 0.5028 0.5000  4 Sc 2.96, 4 Sb 2.98-3.05

Calculated values
* SG: I4mm
* DFT total energy: -6.539 eV/atom


12.
VASP calculation (PBE) on crystalline DyYSi4Ni2 at its relaxed geometry.

a = 3.9748 Å, b = 8.4242 Å, c = 8.4242 Å
α = 27.48°, β = 90.00°, γ = 90.00°
Closest atoms and distances in Å follow each position.
Atoms (fractional coordinates):
Dy: 0.0000 0.6056 0.6056  10 Si 3.02-3.11, 4 Ni 3.06
Ni: 0.5000 0.1780 0.1780  5 Si 2.25-2.32
Ni: 0.0000 0.8218 0.8218  5 Si 2.26-2.32
Si: 0.5000 0.0402 0.0402  1 Ni 2.25, 2 Si 2.38
Si: 0.0000 0.2499 0.2499  4 Ni 2.31-2.32
Si: 0.5000 0.7498 0.7498  4 Ni 2.31-2.32
Si: 0.0000 0.9600 0.9600  1 Ni 2.26, 2 Si 2.38
Y: 0.5000 0.3947 0.3947  10 Si 3.02-3.11, 4 Ni 3.06

Calculated values
* SG: Amm2
* DFT total energy: -6.327 eV/atom


The lowest DFT total energy belongs to which entry?
GdZrNO


Which of these has the highest DFT total energy?
Li2CdPd


Look up the DFT total energy of the ninth one.
-6.750 eV/atom